Entry 1:
# LiZrS2Cl | Alexandria | meta-GGA SCAN | PBEsol geometry
# * total magnetization: 0.00 μB per formula unit
# * E_form (uncorrected): -1.43 eV/atom
data_LiZrS2Cl
_symmetry_space_group_name_H-M 'P 4/m m m'
_symmetry_Int_Tables_number 123
_symmetry_space_group_name_Hall '-P 4 2'
_cell_length_a 4.9446
_cell_length_b 4.9446
_cell_length_c 5.0075
_cell_angle_alpha 90.00
_cell_angle_beta 90.00
_cell_angle_gamma 90.00
loop_
_atom_site_label
_atom_site_type_symbol
_atom_site_fract_x
_atom_site_fract_y
_atom_site_fract_z
Li1 Li 0.0000 0.0000 0.0000
Zr1 Zr 0.5000 0.5000 0.5000
S1 S 0.0000 0.5000 0.5000
Cl1 Cl 0.5000 0.5000 0.0000


Entry 2:
# CaMnTc2 | Alexandria | meta-GGA SCAN | PBEsol geometry
# * DFT formation energy: 415 meV per atom
# * total magnetization: 1.77 μB per formula unit
data_CaMnTc2
_symmetry_space_group_name_H-M 'C 1 m 1'
_symmetry_Int_Tables_number 8
_cell_length_a 9.1633
_cell_length_b 3.0199
_cell_length_c 5.2765
_cell_angle_alpha 90.00
_cell_angle_beta 106.43
_cell_angle_gamma 90.00
loop_
_symmetry_equiv_pos_as_xyz
'x,y,z'
'x,-y,z'
'x+1/2,y+1/2,z'
'x+1/2,-y+1/2,z'
loop_
_atom_site_label
_atom_site_type_symbol
_atom_site_fract_x
_atom_site_fract_y
_atom_site_fract_z
Ca1 Ca 0.0000 0.0000 0.0000
Mn1 Mn 0.2157 0.0000 0.6548
Tc1 Tc 0.0059 0.5000 0.5055
Tc2 Tc 0.2855 0.5000 0.3533


Entry 3:
# ErBe13 | Alexandria | meta-GGA SCAN | PBEsol geometry
# * DFT formation energy: -175 meV per atom
# * total magnetization: 0.00 μB per formula unit
data_ErBe13
_symmetry_space_group_name_H-M 'F m -3 c'
_symmetry_Int_Tables_number 226
_symmetry_space_group_name_Hall '-F 4a 2 3'
_cell_length_a 10.0989
_cell_length_b 10.0989
_cell_length_c 10.0989
_cell_angle_alpha 90.00
_cell_angle_beta 90.00
_cell_angle_gamma 90.00
loop_
_atom_site_label
_atom_site_type_symbol
_atom_site_fract_x
_atom_site_fract_y
_atom_site_fract_z
Er1 Er 0.2500 0.2500 0.2500
Be1 Be 0.0000 0.0000 0.0000
Be2 Be 0.0000 0.1147 0.1769


Entry 4:
# LaTlMo2 | Alexandria | meta-GGA SCAN | PBEsol geometry
# * DFT formation energy: 852 meV per atom
# * total magnetization: 0.00 μB per formula unit
data_LaTlMo2
_symmetry_space_group_name_H-M 'F m -3 m'
_symmetry_Int_Tables_number 225
_symmetry_space_group_name_Hall '-F 4 2 3'
_cell_length_a 6.7704
_cell_length_b 6.7704
_cell_length_c 6.7704
_cell_angle_alpha 90.00
_cell_angle_beta 90.00
_cell_angle_gamma 90.00
loop_
_atom_site_label
_atom_site_type_symbol
_atom_site_fract_x
_atom_site_fract_y
_atom_site_fract_z
La1 La 0.0000 0.0000 0.0000
Tl1 Tl 0.0000 0.0000 0.5000
Mo1 Mo 0.2500 0.2500 0.2500


Entry 5:
# ZnRe2Se | Alexandria | meta-GGA SCAN | PBEsol geometry
# * total magnetization: 0.00 μB per formula unit
# * E_form (uncorrected): 0.56 eV/atom
data_ZnRe2Se
_symmetry_space_group_name_H-M 'P 1 2/m 1'
_symmetry_Int_Tables_number 10
_cell_length_a 3.5715
_cell_length_b 4.3934
_cell_length_c 4.5712
_cell_angle_alpha 90.00
_cell_angle_beta 100.17
_cell_angle_gamma 90.00
loop_
_symmetry_equiv_pos_as_xyz
'x,y,z'
'-x,-y,-z'
'-x,y,-z'
'x,-y,z'
loop_
_atom_site_label
_atom_site_type_symbol
_atom_site_fract_x
_atom_site_fract_y
_atom_site_fract_z
Zn1 Zn 0.0000 0.0000 0.0000
Re1 Re 0.3208 0.5000 0.1848
Se1 Se 0.5000 0.0000 0.5000


Entry 6:
# TaCdP2 | Alexandria | meta-GGA SCAN | PBEsol geometry
# * DFT formation energy: -231 meV per atom
# * total magnetization: 0.00 μB per formula unit
data_TaCdP2
_symmetry_space_group_name_H-M 'R -3 m'
_symmetry_Int_Tables_number 166
_symmetry_space_group_name_Hall '-R 3 2"'
_cell_length_a 3.4175
_cell_length_b 3.4175
_cell_length_c 21.1806
_cell_angle_alpha 90.00
_cell_angle_beta 90.00
_cell_angle_gamma 120.00
loop_
_atom_site_label
_atom_site_type_symbol
_atom_site_fract_x
_atom_site_fract_y
_atom_site_fract_z
Ta1 Ta 0.0000 0.0000 0.0000
Cd1 Cd 0.0000 0.0000 0.5000
P1 P 0.0000 0.0000 0.2594


Entry 7:
# Cs3GaF6 | Alexandria | meta-GGA SCAN | PBEsol geometry
# * total magnetization: 0.00 μB per formula unit
# * E_form (uncorrected): -2.98 eV/atom
data_Cs3GaF6
_symmetry_space_group_name_H-M 'F m -3 m'
_symmetry_Int_Tables_number 225
_symmetry_space_group_name_Hall '-F 4 2 3'
_cell_length_a 9.3280
_cell_length_b 9.3280
_cell_length_c 9.3280
_cell_angle_alpha 90.00
_cell_angle_beta 90.00
_cell_angle_gamma 90.00
loop_
_atom_site_label
_atom_site_type_symbol
_atom_site_fract_x
_atom_site_fract_y
_atom_site_fract_z
Cs1 Cs 0.0000 0.0000 0.0000
Cs2 Cs 0.2500 0.2500 0.2500
Ga1 Ga 0.0000 0.0000 0.5000
F1 F 0.0000 0.0000 0.2951


Entry 8:
# LaPmIr2 | Alexandria | meta-GGA SCAN | PBEsol geometry
# * DFT formation energy: -690 meV per atom
# * total magnetization: 0.00 μB per formula unit
data_LaPmIr2
_symmetry_space_group_name_H-M 'F m -3 m'
_symmetry_Int_Tables_number 225
_symmetry_space_group_name_Hall '-F 4 2 3'
_cell_length_a 7.0064
_cell_length_b 7.0064
_cell_length_c 7.0064
_cell_angle_alpha 90.00
_cell_angle_beta 90.00
_cell_angle_gamma 90.00
loop_
_atom_site_label
_atom_site_type_symbol
_atom_site_fract_x
_atom_site_fract_y
_atom_site_fract_z
La1 La 0.0000 0.0000 0.0000
Pm1 Pm 0.0000 0.0000 0.5000
Ir1 Ir 0.2500 0.2500 0.2500